[1]
A plane-wave DFT calculation with PBE-GGA was carried out for a relaxed CdSi2Ru crystal.

Summary:
N(E_F)	3.65	states/eV per cell
E_form (uncorrected)	1.37	eV/f.u.

a b c (Å): 6.2371 6.2490 3.1693
angles (deg): 90.00 90.00 90.00
Fractional positions:
Cd: 0.0000 0.0000 0.0000
Cd: 0.5000 0.5000 0.0000
Si: 0.2500 0.2500 0.5000
Si: 0.2500 0.7500 0.5000
Si: 0.7500 0.2500 0.5000
Si: 0.7500 0.7500 0.5000
Ru: 0.0000 0.5000 0.0000
Ru: 0.5000 0.0000 0.0000

---

[2]
A plane-wave DFT calculation with PBE-GGA was carried out for a relaxed CdSiRu4 crystal.

Summary:
N(E_F)	8.15	states/eV per cell
E_form (uncorrected)	3.73	eV/f.u.

a b c (Å): 5.1488 5.1488 5.1488
angles (deg): 60.00 60.00 60.00
Fractional positions:
Cd: 0.0000 0.0000 0.0000
Si: 0.2500 0.2500 0.2500
Ru: 0.1262 0.6246 0.6246
Ru: 0.6246 0.1262 0.6246
Ru: 0.6246 0.6246 0.1262
Ru: 0.6246 0.6246 0.6246

---

[3]
A plane-wave DFT calculation with PBE-GGA was carried out for a relaxed Cd2SiRu crystal.

Summary:
N(E_F)	3.78	states/eV per cell
E_form (uncorrected)	1.30	eV/f.u.

a b c (Å): 3.9257 3.9257 4.4003
angles (deg): 90.00 90.00 90.00
Fractional positions:
Cd: 0.0000 0.5000 0.0000
Cd: 0.5000 0.0000 0.0000
Si: 0.0000 0.0000 0.5000
Ru: 0.5000 0.5000 0.5000

---

[4]
A plane-wave DFT calculation with PBE-GGA was carried out for a relaxed CdSi2Ru crystal.

Summary:
N(E_F)	5.46	states/eV per cell
E_form (uncorrected)	0.93	eV/f.u.

a b c (Å): 4.2872 4.2872 16.0869
angles (deg): 90.00 90.00 90.00
Fractional positions:
Cd: 0.0000 0.0000 0.0000
Cd: 0.0000 0.5000 0.2500
Cd: 0.5000 0.0000 0.7500
Cd: 0.5000 0.5000 0.5000
Si: 0.1533 0.2500 0.6250
Si: 0.2500 0.6533 0.8750
Si: 0.2500 0.8467 0.3750
Si: 0.3467 0.2500 0.1250
Si: 0.6533 0.7500 0.1250
Si: 0.7500 0.1533 0.3750
Si: 0.7500 0.3467 0.8750
Si: 0.8467 0.7500 0.6250
Ru: 0.0000 0.0000 0.5000
Ru: 0.0000 0.5000 0.7500
Ru: 0.5000 0.0000 0.2500
Ru: 0.5000 0.5000 0.0000

---

[5]
A plane-wave DFT calculation with PBE-GGA was carried out for a relaxed Cd2SiRu crystal.

Summary:
N(E_F)	4.85	states/eV per cell
E_form (uncorrected)	-0.52	eV/f.u.

a b c (Å): 14.4110 2.8434 3.8947
angles (deg): 90.00 105.61 90.00
Fractional positions:
Cd: 0.1802 0.0000 0.1795
Cd: 0.3198 0.5000 0.8205
Cd: 0.6802 0.5000 0.1795
Cd: 0.8198 0.0000 0.8205
Si: 0.0000 0.0000 0.5000
Si: 0.5000 0.5000 0.5000
Ru: 0.0000 0.5000 0.0000
Ru: 0.5000 0.0000 0.0000

---

[6]
A plane-wave DFT calculation with PBE-GGA was carried out for a relaxed Sr2CdSiRu crystal.

Summary:
N(E_F)	4.27	states/eV per cell
E_form (uncorrected)	4.39	eV/f.u.

a b c (Å): 5.9541 5.9541 4.9300
angles (deg): 90.00 90.00 90.00
Fractional positions:
Sr: 0.0000 0.5000 0.0000
Sr: 0.5000 0.0000 0.0000
Cd: 0.0000 0.0000 0.0000
Si: 0.5000 0.5000 0.5000
Ru: 0.0000 0.0000 0.5000

---

[7]
A plane-wave DFT calculation with PBE-GGA was carried out for a relaxed Cd2SiTcRu crystal.

Summary:
N(E_F)	6.54	states/eV per cell
E_form (uncorrected)	6.33	eV/f.u.

a b c (Å): 5.1419 5.1419 4.4818
angles (deg): 90.00 90.00 90.00
Fractional positions:
Cd: 0.0000 0.5000 0.0000
Cd: 0.5000 0.0000 0.0000
Si: 0.0000 0.0000 0.5000
Tc: 0.0000 0.0000 0.0000
Ru: 0.5000 0.5000 0.5000

---

[8]
A plane-wave DFT calculation with PBE-GGA was carried out for a relaxed Sm7CdRu4 crystal.

Summary:
DFT formation energy	-0.02	eV/atom
N(E_F)	8.48	states/eV per cell

a b c (Å): 7.4353 7.4353 9.8165
angles (deg): 123.53 123.53 44.55
Fractional positions:
Sm: 0.0000 0.0000 0.0000
Sm: 0.1774 0.1774 0.6301
Sm: 0.2895 0.2895 0.1213
Sm: 0.4210 0.4210 0.6238
Sm: 0.5790 0.5790 0.3762
Sm: 0.7105 0.7105 0.8787
Sm: 0.8226 0.8226 0.3699
Cd: 0.5000 0.5000 0.0000
Ru: 0.0645 0.0645 0.7764
Ru: 0.1982 0.1982 0.3436
Ru: 0.8018 0.8018 0.6564
Ru: 0.9355 0.9355 0.2236